BaMg2GaRu | PBE-GGA | relaxed

Cell and atoms, written as extended XYZ:
```
5
Lattice="5.115 0.000 0.000 0.000 5.115 0.000 0.000 0.000 4.930" Properties=species:S:1:pos:R:3 pbc="T T T"
Ba 0.000 0.000 0.000
Mg 0.000 2.557 2.465
Mg 2.557 0.000 2.465
Ga 2.557 2.557 0.000
Ru 2.557 2.557 2.465
```

Total energy ... -18.45 eV for the cell shown
Energy of formation from the pure elements ... -19.9 kJ/mol of atoms
SG ... P4/mmm (123)

---

BaMgGa2Ru | PBE-GGA | relaxed

Cell and atoms, written as extended XYZ:
```
5
Lattice="4.900 0.000 0.000 0.000 4.900 0.000 0.000 0.000 5.063" Properties=species:S:1:pos:R:3 pbc="T T T"
Ba 0.000 0.000 0.000
Mg 2.450 2.450 0.000
Ga 0.000 2.450 2.531
Ga 2.450 0.000 2.531
Ru 2.450 2.450 2.531
```

Total energy ... -20.76 eV for the cell shown
Energy of formation from the pure elements ... -36.8 kJ/mol of atoms
SG ... P4/mmm (123)

---

Ba2MgGaS5 | PBE-GGA | relaxed

Cell and atoms, written as extended XYZ:
```
18
Lattice="2.009 -9.119 0.000 2.009 9.119 0.000 0.000 0.000 12.622" Properties=species:S:1:pos:R:3 pbc="T T T"
Ba 2.009 6.931 6.311
Ba 2.009 6.717 1.578
Ba 2.009 -6.717 7.889
Ba 2.009 -6.931 0.000
Mg 2.009 5.289 10.515
Mg 2.009 -5.289 4.204
Ga 2.009 1.187 3.153
Ga 2.009 -1.187 9.464
S 2.009 8.144 10.748
S 2.009 3.753 5.850
S 2.009 3.401 2.438
S 2.009 2.793 10.300
S 2.009 0.021 1.225
S 2.009 -0.021 7.537
S 2.009 -2.793 3.989
S 2.009 -3.401 8.749
S 2.009 -3.753 12.161
S 2.009 -8.144 4.437
```

Total energy ... -82.33 eV for the cell shown
ΔE_f (raw) ... -1.34 eV/atom
SG ... Cmc2_1 (36)

---

What did we get for DOS(E_F)? Answer: 2.3; 1.6; 15.5 states/eV/cell, in the order shown.